PBE BaPmCd4, optimized geometry; excess energy over the best structure of this formula in the dataset = 0.0 meV/atom; size of the total moment = 0.00 μB per formula unit; formation enthalpy at 0 K = -2.38 eV per formula unit; DFT total energy = -2.119 eV per atom
1.0
8.8067 0.0000 0.0000
0.0000 5.0842 0.0000
-0.0118 0.0000 8.1182
Ba Pm Cd
2 2 8
Direct
0.0000 0.0000 0.0000
0.5000 0.5000 0.0000
0.0000 0.0000 0.5000
0.5000 0.5000 0.5000
0.1664 0.5000 0.3020
0.1668 0.5000 0.6980
0.3332 0.0000 0.3020
0.3336 0.0000 0.6980
0.6664 0.0000 0.3020
0.6668 0.0000 0.6980
0.8332 0.5000 0.3020
0.8336 0.5000 0.6980